(1)
This record from Alexandria describes crystalline Er5In4Pt2 at its relaxed geometry. The functional is GGA-PBEsol.

Output
V in Å³ per atom: 22.834
Formation energy from the elements in eV per formula unit: -9.39
Space-group type: Pbam
DOS at the Fermi energy in states/eV/f.u.: 5.47
Total energy in eV/atom: -5.444

Cell: 7.8979 17.8542 3.5625 Å, 90.00 90.00 90.00°
Last column: nearest neighbours and their distance in Å.
Fractional coordinates of all 22 atoms:
1 Er 0.0000 0.0000 0.0000  8 In 3.14-3.24, 2 Er 3.38
2 Er 0.1167 0.4163 0.0000  2 Pt 2.77
3 Er 0.2442 0.2208 0.0000  4 Pt 2.89
4 Er 0.2558 0.7208 0.0000  4 Pt 2.89
5 Er 0.3833 0.9163 0.0000  2 Pt 2.77
6 Er 0.5000 0.5000 0.0000  8 In 3.14-3.24, 2 Er 3.38
7 Er 0.6167 0.0837 0.0000  2 Pt 2.77
8 Er 0.7442 0.2792 0.0000  4 Pt 2.89
9 Er 0.7558 0.7792 0.0000  4 Pt 2.89
10 Er 0.8833 0.5837 0.0000  2 Pt 2.77
11 In 0.0753 0.8518 0.5000  1 Pt 2.90, 1 In 3.22, 4 Er 3.23-3.24
12 In 0.2103 0.5675 0.5000  1 Pt 2.96, 6 Er 3.14-3.28, 1 In 3.22
13 In 0.2897 0.0675 0.5000  1 Pt 2.96, 6 Er 3.14-3.28, 1 In 3.22
14 In 0.4247 0.3518 0.5000  1 Pt 2.90, 1 In 3.22, 4 Er 3.23-3.24
15 In 0.5753 0.6482 0.5000  1 Pt 2.90, 1 In 3.22, 4 Er 3.23-3.24
16 In 0.7103 0.9325 0.5000  1 Pt 2.96, 6 Er 3.14-3.28, 1 In 3.22
17 In 0.7897 0.4325 0.5000  1 Pt 2.96, 6 Er 3.14-3.28, 1 In 3.22
18 In 0.9247 0.1482 0.5000  1 Pt 2.90, 1 In 3.22, 4 Er 3.23-3.24
19 Pt 0.0273 0.3043 0.5000  6 Er 2.77-2.89, 2 In 2.90-2.96
20 Pt 0.4727 0.8043 0.5000  6 Er 2.77-2.89, 2 In 2.90-2.96
21 Pt 0.5273 0.1957 0.5000  6 Er 2.77-2.89, 2 In 2.90-2.96
22 Pt 0.9727 0.6957 0.5000  6 Er 2.77-2.89, 2 In 2.90-2.96


(2)
This record from Alexandria describes crystalline KPt2SeCl at its relaxed geometry. The functional is GGA-PBEsol.

Output
V in Å³ per atom: 25.807
Space-group type: P4/mmm
DOS at the Fermi energy in states/eV/f.u.: 3.68
E_form (uncorrected) in eV per atom: -0.083
Total energy in eV/atom: -4.266

Cell: 4.5922 4.5922 6.1188 Å, 90.00 90.00 90.00°
Last column: nearest neighbours and their distance in Å.
Fractional coordinates of all 5 atoms:
1 K 0.0000 0.0000 0.0000  4 Cl 3.25
2 Pt 0.0000 0.5000 0.5000  2 Se 2.30
3 Pt 0.5000 0.0000 0.5000  2 Se 2.30
4 Se 0.5000 0.5000 0.5000  4 Pt 2.30
5 Cl 0.5000 0.5000 0.0000  2 Se 3.06, 4 K 3.25


(3)
This record from Alexandria describes crystalline YRuOF2 at its relaxed geometry. The functional is GGA-PBEsol.

Output
V in Å³ per atom: 14.185
Space-group type: P4/mmm
DOS at the Fermi energy in states/eV/f.u.: 3.10
E_form (uncorrected) in eV per atom: -1.350
Total energy in eV/atom: -6.569

Cell: 4.3870 4.3870 3.6852 Å, 90.00 90.00 90.00°
Last column: nearest neighbours and their distance in Å.
Fractional coordinates of all 5 atoms:
1 Y 0.0000 0.0000 0.0000  8 F 2.86, 4 O 3.10
2 Ru 0.5000 0.5000 0.5000  2 O 1.84
3 O 0.5000 0.5000 0.0000  2 Ru 1.84
4 F 0.0000 0.5000 0.5000  2 Ru 2.19
5 F 0.5000 0.0000 0.5000  2 Ru 2.19


(4)
This record from Alexandria describes crystalline Zr2CuAu at its relaxed geometry. The functional is GGA-PBEsol.

Output
V in Å³ per atom: 17.971
Formation energy from the elements in eV per formula unit: -1.24
Space-group type: Pm
DOS at the Fermi energy in states/eV/f.u.: 4.03
Total energy in eV/atom: -6.920

Cell: 3.0998 4.6466 4.9907 Å, 90.00 90.08 90.00°
Last column: nearest neighbours and their distance in Å.
Fractional coordinates of all 4 atoms:
1 Zr 0.0000 0.0000 0.0000  4 Cu 2.83-3.05, 4 Au 2.85, 4 Zr 3.10-3.12
2 Zr 0.0019 0.5000 0.5826  4 Au 2.82-3.06, 4 Cu 2.84-2.85, 4 Zr 3.10-3.12
3 Cu 0.5012 0.0000 0.4740  8 Zr 2.83-3.05, 2 Au 2.95, 2 Cu 3.10
4 Au 0.5008 0.5000 0.1108  8 Zr 2.82-3.06, 2 Cu 2.95, 2 Au 3.10


(5)
This record from Alexandria describes crystalline ScReAu2 at its relaxed geometry. The functional is GGA-PBEsol.

Output
V in Å³ per atom: 16.861
Formation energy from the elements in eV per formula unit: 0.83
Space-group type: F-43m
DOS at the Fermi energy in states/eV/f.u.: 4.77
Total energy in eV/atom: -6.739

Cell: 4.5689 4.5689 4.5689 Å, 60.00 60.00 60.00°
Last column: nearest neighbours and their distance in Å.
Fractional coordinates of all 4 atoms:
1 Sc 0.0000 0.0000 0.0000  4 Re 2.80, 4 Au 2.80
2 Re 0.7500 0.7500 0.7500  4 Sc 2.80, 4 Au 2.80
3 Au 0.2500 0.2500 0.2500  4 Sc 2.80, 4 Au 2.80
4 Au 0.5000 0.5000 0.5000  4 Re 2.80, 4 Au 2.80


(6)
This record from Alexandria describes crystalline Ba2HfTlTe at its relaxed geometry. The functional is GGA-PBEsol.

Output
V in Å³ per atom: 39.637
Space-group type: P4/mmm
DOS at the Fermi energy in states/eV/f.u.: 7.18
E_form (uncorrected) in eV per atom: 0.297
Total energy in eV/atom: -3.894

Cell: 6.0851 6.0851 5.3522 Å, 90.00 90.00 90.00°
Last column: nearest neighbours and their distance in Å.
Fractional coordinates of all 5 atoms:
1 Ba 0.0000 0.5000 0.0000  2 Hf 3.04
2 Ba 0.5000 0.0000 0.0000  2 Hf 3.04
3 Hf 0.0000 0.0000 0.0000  2 Tl 2.68
4 Tl 0.0000 0.0000 0.5000  2 Hf 2.68
5 Te 0.5000 0.5000 0.5000  8 Ba 4.05, 4 Tl 4.30


(7)
This record from Alexandria describes crystalline LiAu2 at its relaxed geometry. The functional is GGA-PBEsol.

Output
V in Å³ per atom: 15.448
Formation energy from the elements in eV per formula unit: -1.15
Space-group type: P-62m
DOS at the Fermi energy in states/eV/f.u.: 0.60
Total energy in eV/atom: -3.654

Cell: 7.5630 7.5630 2.8066 Å, 90.00 90.00 120.00°
Last column: nearest neighbours and their distance in Å.
Fractional coordinates of all 9 atoms:
1 Li 0.0000 0.0000 0.0000  9 Au 2.70-2.72, 2 Li 2.81
2 Li 0.3333 0.6667 0.5000  9 Au 2.62-2.81, 2 Li 2.81
3 Li 0.6667 0.3333 0.5000  9 Au 2.62-2.81, 2 Li 2.81
4 Au 0.0000 0.3572 0.0000  5 Li 2.70-2.81, 8 Au 2.81-2.90
5 Au 0.0000 0.6922 0.5000  4 Li 2.62-2.72, 8 Au 2.81-2.90
6 Au 0.3078 0.3078 0.5000  4 Li 2.62-2.72, 8 Au 2.81-2.90
7 Au 0.3572 0.0000 0.0000  5 Li 2.70-2.81, 8 Au 2.81-2.90
8 Au 0.6428 0.6428 0.0000  5 Li 2.70-2.81, 8 Au 2.81-2.90
9 Au 0.6922 0.0000 0.5000  4 Li 2.62-2.72, 8 Au 2.81-2.90


(8)
This record from Alexandria describes crystalline Sc2AlCo at its relaxed geometry. The functional is GGA-PBEsol.

Output
V in Å³ per atom: 17.676
Formation energy from the elements in eV per formula unit: -0.49
Space-group type: R-3m
DOS at the Fermi energy in states/eV/f.u.: 3.15
Total energy in eV/atom: -6.382

Cell: 8.5743 8.5743 8.5743 Å, 20.97 20.97 20.97°
Last column: nearest neighbours and their distance in Å.
Fractional coordinates of all 4 atoms:
1 Sc 0.2378 0.2378 0.2378  3 Co 2.54
2 Sc 0.7622 0.7622 0.7622  3 Co 2.54
3 Al 0.0000 0.0000 0.0000  6 Sc 3.00, 6 Al 3.12
4 Co 0.5000 0.5000 0.5000  6 Sc 2.54


(9)
This record from Alexandria describes crystalline KBa2Rh at its relaxed geometry. The functional is GGA-PBEsol.

Output
V in Å³ per atom: 41.384
Formation energy from the elements in eV per formula unit: 0.06
Space-group type: P2/m
DOS at the Fermi energy in states/eV/f.u.: 2.93
Total energy in eV/atom: -3.379

Cell: 3.8364 3.8362 11.2478 Å, 90.00 90.05 90.00°
Last column: nearest neighbours and their distance in Å.
Fractional coordinates of all 4 atoms:
1 K 0.0000 0.0000 0.0000  4 K 3.84
2 Ba 0.5003 0.5000 0.3447  4 Rh 3.22-3.23, 1 Ba 3.49
3 Ba 0.4997 0.5000 0.6553  4 Rh 3.22-3.23, 1 Ba 3.49
4 Rh 0.0000 0.0000 0.5000  8 Ba 3.22-3.23


(10)
This record from Alexandria describes crystalline YP4Rh at its relaxed geometry. The functional is GGA-PBEsol.

Output
V in Å³ per atom: 15.421
Formation energy from the elements in eV per formula unit: -0.24
Space-group type: F-43m
DOS at the Fermi energy in states/eV/f.u.: 4.35
Total energy in eV/atom: -6.394

Cell: 5.0768 5.0768 5.0768 Å, 60.00 60.00 60.00°
Last column: nearest neighbours and their distance in Å.
Fractional coordinates of all 6 atoms:
1 Y 0.0000 0.0000 0.0000  12 P 2.99, 4 Rh 3.11
2 P 0.1388 0.6204 0.6204  6 P 2.45-2.63
3 P 0.6204 0.1388 0.6204  6 P 2.45-2.63
4 P 0.6204 0.6204 0.1388  6 P 2.45-2.63
5 P 0.6204 0.6204 0.6204  6 P 2.45-2.63
6 Rh 0.2500 0.2500 0.2500  12 P 2.97, 4 Y 3.11


(11)
This record from Alexandria describes crystalline VF5 at its relaxed geometry. The functional is GGA-PBEsol.

Output
V in Å³ per atom: 14.272
Space-group type: Cc
DOS at the Fermi energy in states/eV/f.u.: 0.00
E_form (uncorrected) in eV per atom: -2.688
Total energy in eV/atom: -5.899

Cell: 5.3698 5.3698 8.0960 Å, 112.16 112.16 54.08°
Last column: nearest neighbours and their distance in Å.
Fractional coordinates of all 12 atoms:
1 V 0.0399 0.9601 0.5000  5 F 1.71-1.74
2 V 0.9601 0.0399 0.0000  5 F 1.71-1.74
3 F 0.0318 0.3169 0.1748  1 V 1.74
4 F 0.1864 0.8128 0.3082  1 V 1.71
5 F 0.1942 0.6319 0.5848  1 V 1.74
6 F 0.3169 0.0318 0.6748  1 V 1.74
7 F 0.3638 0.8120 0.0104  1 V 1.74
8 F 0.6319 0.1942 0.0848  1 V 1.74
9 F 0.6877 0.9655 0.4220  1 V 1.74
10 F 0.8120 0.3638 0.5104  1 V 1.74
11 F 0.8128 0.1864 0.8082  1 V 1.71
12 F 0.9655 0.6877 0.9220  1 V 1.74


(12)
This record from Alexandria describes crystalline SmHoIn2 at its relaxed geometry. The functional is GGA-PBEsol.

Output
V in Å³ per atom: 25.698
Formation energy from the elements in eV per formula unit: -2.08
Space-group type: Fm-3m
DOS at the Fermi energy in states/eV/f.u.: 2.00
Total energy in eV/atom: -4.523

Cell: 5.2580 5.2580 5.2580 Å, 60.00 60.00 60.00°
Last column: nearest neighbours and their distance in Å.
Fractional coordinates of all 4 atoms:
1 Sm 0.0000 0.0000 0.0000  8 In 3.22
2 Ho 0.5000 0.5000 0.5000  8 In 3.22
3 In 0.2500 0.2500 0.2500  4 Ho 3.22, 4 Sm 3.22
4 In 0.7500 0.7500 0.7500  4 Ho 3.22, 4 Sm 3.22